# Pm3Sm2Er2 (PBE, optimized geometry)
# - ΔE to the lowest computed polymorph (meV/atom) = 0.0
# - energy of formation from the pure elements (eV/f.u.) = 0.6
# - electronic total energy (eV/atom) = -4.60
data_Pm3Sm2Er2
_chemical_formula_sum 'Pm3 Sm2 Er2'
_symmetry_space_group_name_H-M 'P -1'
_symmetry_Int_Tables_number 2
_cell_length_a 3.593
_cell_length_b 8.501
_cell_length_c 8.703
_cell_angle_alpha 62.92
_cell_angle_beta 89.81
_cell_angle_gamma 89.94
loop_
_symmetry_equiv_pos_as_xyz
'x,y,z'
'-x,-y,-z'
loop_
_atom_site_label
_atom_site_type_symbol
_atom_site_fract_x
_atom_site_fract_y
_atom_site_fract_z
Pm1 Pm 0.000 0.000 0.000
Pm2 Pm 0.002 0.725 0.451
Sm1 Sm 0.496 0.416 0.832
Er1 Er 0.499 0.874 0.720

# Ca2UZnRh6 (PBE, optimized geometry)
# - energy of formation from the pure elements (eV/f.u.) = 0.0
# - electronic total energy (eV/atom) = -6.07
data_Ca2UZnRh6
_chemical_formula_sum 'Ca8 U4 Zn4 Rh24'
_symmetry_space_group_name_H-M 'F m -3 m'
_symmetry_Int_Tables_number 225
_symmetry_space_group_name_Hall '-F 4 2 3'
_cell_length_a 9.505
_cell_length_b 9.505
_cell_length_c 9.505
_cell_angle_alpha 90.00
_cell_angle_beta 90.00
_cell_angle_gamma 90.00
loop_
_atom_site_label
_atom_site_type_symbol
_atom_site_fract_x
_atom_site_fract_y
_atom_site_fract_z
Ca1 Ca 0.250 0.250 0.250
U1 U 0.000 0.000 0.000
Zn1 Zn 0.000 0.000 0.500
Rh1 Rh 0.000 0.000 0.250

# Zr2TeSe (PBE, optimized geometry)
# - ΔE to the lowest computed polymorph (meV/atom) = 383.5
# - ΔE_f (raw) (meV per atom) = -654
# - electronic total energy (eV/atom) = -6.58
data_Zr2TeSe
_chemical_formula_sum 'Zr4 Te2 Se2'
_symmetry_space_group_name_H-M 'C m m 2'
_symmetry_Int_Tables_number 35
_cell_length_a 3.975
_cell_length_b 5.362
_cell_length_c 9.990
_cell_angle_alpha 90.00
_cell_angle_beta 90.00
_cell_angle_gamma 90.00
loop_
_symmetry_equiv_pos_as_xyz
'x,y,z'
'-x,-y,z'
'-x,y,z'
'x,-y,z'
'x+1/2,y+1/2,z'
'-x+1/2,-y+1/2,z'
'-x+1/2,y+1/2,z'
'x+1/2,-y+1/2,z'
loop_
_atom_site_label
_atom_site_type_symbol
_atom_site_fract_x
_atom_site_fract_y
_atom_site_fract_z
Zr1 Zr 0.000 0.000 0.000
Zr2 Zr 0.000 0.500 0.240
Te1 Te 0.000 0.000 0.447
Se1 Se 0.000 0.500 0.827

# H3RuO (PBE, optimized geometry)
# - ΔE to the lowest computed polymorph (meV/atom) = 161.4
# - electronic total energy (eV/atom) = -3.86
data_H3RuO
_chemical_formula_sum 'H3 Ru1 O1'
_symmetry_space_group_name_H-M 'P m -3 m'
_symmetry_Int_Tables_number 221
_symmetry_space_group_name_Hall '-P 4 2 3'
_cell_length_a 3.180
_cell_length_b 3.180
_cell_length_c 3.180
_cell_angle_alpha 90.00
_cell_angle_beta 90.00
_cell_angle_gamma 90.00
loop_
_atom_site_label
_atom_site_type_symbol
_atom_site_fract_x
_atom_site_fract_y
_atom_site_fract_z
H1 H 0.000 0.000 0.500
Ru1 Ru 0.500 0.500 0.500
O1 O 0.000 0.000 0.000

# Sm2Al2ZnPd5 (PBE, optimized geometry)
# - energy of formation from the pure elements (eV/f.u.) = -7.0
# - electronic total energy (eV/atom) = -5.11
data_Sm2Al2ZnPd5
_chemical_formula_sum 'Sm4 Al4 Zn2 Pd10'
_symmetry_space_group_name_H-M 'P 4/m b m'
_symmetry_Int_Tables_number 127
_symmetry_space_group_name_Hall '-P 4 2ab'
_cell_length_a 10.578
_cell_length_b 10.578
_cell_length_c 3.224
_cell_angle_alpha 90.00
_cell_angle_beta 90.00
_cell_angle_gamma 90.00
loop_
_atom_site_label
_atom_site_type_symbol
_atom_site_fract_x
_atom_site_fract_y
_atom_site_fract_z
Sm1 Sm 0.175 0.325 0.000
Al1 Al 0.128 0.628 0.000
Zn1 Zn 0.000 0.000 0.000
Pd1 Pd 0.000 0.500 0.500
Pd2 Pd 0.054 0.802 0.500

# PmSmPa2P4 (PBE, optimized geometry)
# - energy of formation from the pure elements (eV/f.u.) = -11.5
# - electronic total energy (eV/atom) = -7.71
data_PmSmPa2P4
_chemical_formula_sum 'Pm1 Sm1 Pa2 P4'
_symmetry_space_group_name_H-M 'P 1 2/m 1'
_symmetry_Int_Tables_number 10
_cell_length_a 6.984
_cell_length_b 4.033
_cell_length_c 6.999
_cell_angle_alpha 90.00
_cell_angle_beta 109.44
_cell_angle_gamma 90.00
loop_
_symmetry_equiv_pos_as_xyz
'x,y,z'
'-x,-y,-z'
'-x,y,-z'
'x,-y,z'
loop_
_atom_site_label
_atom_site_type_symbol
_atom_site_fract_x
_atom_site_fract_y
_atom_site_fract_z
Pm1 Pm 0.000 0.000 0.000
Sm1 Sm 0.500 0.500 0.000
Pa1 Pa 0.000 0.500 0.500
Pa2 Pa 0.500 0.000 0.500
P1 P 0.246 0.000 0.737
P2 P 0.255 0.500 0.264